Record 1
First-principles (GGA-PBE) data for crystalline CsTl2S2 at its relaxed geometry, as listed in the Alexandria database.

a = 10.5332 Å, b = 10.5332 Å, c = 10.5332 Å
α = 23.22°, β = 23.22°, γ = 23.22°
Fractional coordinates of all 5 atoms:
Cs  0.0000  0.0000  0.0000
Tl  0.2066  0.2066  0.2066
Tl  0.7934  0.7934  0.7934
S  0.4144  0.4144  0.4144
S  0.5856  0.5856  0.5856

Summary:
- energy above the most stable polymorph in this dataset (meV per atom) = 0
- raw formation energy (eV per atom) = -0.52

---

Record 2
First-principles (GGA-PBE) data for crystalline Y3MoIr at its relaxed geometry, as listed in the Alexandria database.

a = 5.3347 Å, b = 5.3347 Å, c = 5.3347 Å
α = 90.00°, β = 90.00°, γ = 90.00°
Fractional coordinates of all 5 atoms:
Y  0.0000  0.0000  0.5000
Y  0.0000  0.5000  0.0000
Y  0.5000  0.0000  0.0000
Mo  0.5000  0.5000  0.5000
Ir  0.0000  0.0000  0.0000

Summary:
- energy above the most stable polymorph in this dataset (meV per atom) = 0
- formation enthalpy at 0 K (eV/atom) = 0.357

---

Record 3
First-principles (GGA-PBE) data for crystalline Ge4F at its relaxed geometry, as listed in the Alexandria database.

a = 4.6403 Å, b = 4.6403 Å, c = 4.6403 Å
α = 90.00°, β = 90.00°, γ = 90.00°
Fractional coordinates of all 5 atoms:
Ge  0.0000  0.0000  0.0000
Ge  0.0000  0.5000  0.5000
Ge  0.5000  0.0000  0.5000
Ge  0.5000  0.5000  0.0000
F  0.5000  0.5000  0.5000

Summary:
- raw formation energy (eV per atom) = 0.09

---

Record 4
First-principles (GGA-PBE) data for crystalline Co2TcMo at its relaxed geometry, as listed in the Alexandria database.

a = 4.4946 Å, b = 4.4946 Å, c = 4.6061 Å
α = 98.52°, β = 98.52°, γ = 33.93°
Fractional coordinates of all 4 atoms:
Co  0.0000  0.0000  0.0000
Co  0.7456  0.7456  0.2637
Tc  0.4895  0.4895  0.4664
Mo  0.2519  0.2519  0.7796

Summary:
- energy above the most stable polymorph in this dataset (meV per atom) = 111
- formation enthalpy at 0 K (eV/atom) = 0.079

---

Record 5
First-principles (GGA-PBE) data for crystalline PrDy12Tm6 at its relaxed geometry, as listed in the Alexandria database.

a = 9.2403 Å, b = 9.2403 Å, c = 9.2403 Å
α = 107.57°, β = 107.57°, γ = 107.57°
Fractional coordinates of all 19 atoms:
Pr  0.0000  0.0000  0.0000
Dy  0.1112  0.5000  0.8888
Dy  0.1112  0.8888  0.5000
Dy  0.1494  0.3696  0.3696
Dy  0.3696  0.1494  0.3696
Dy  0.3696  0.3696  0.1494
Dy  0.5000  0.1112  0.8888
Dy  0.5000  0.8888  0.1112
Dy  0.6304  0.6304  0.8506
Dy  0.6304  0.8506  0.6304
Dy  0.8506  0.6304  0.6304
Dy  0.8888  0.1112  0.5000
Dy  0.8888  0.5000  0.1112
Tm  0.2680  0.6897  0.6897
Tm  0.3103  0.3103  0.7320
Tm  0.3103  0.7320  0.3103
Tm  0.6897  0.2680  0.6897
Tm  0.6897  0.6897  0.2680
Tm  0.7320  0.3103  0.3103

Summary:
- energy above the most stable polymorph in this dataset (meV per atom) = 277
- formation enthalpy at 0 K (eV/atom) = 0.433

---

Record 6
First-principles (GGA-PBE) data for crystalline Pr2SmZn4 at its relaxed geometry, as listed in the Alexandria database.

a = 7.4510 Å, b = 7.4510 Å, c = 7.4510 Å
α = 138.32°, β = 138.32°, γ = 60.42°
Fractional coordinates of all 7 atoms:
Pr  0.2184  0.2184  0.0000
Pr  0.7816  0.7816  0.0000
Sm  0.5000  0.5000  0.0000
Zn  0.1052  0.6052  0.5000
Zn  0.3948  0.8948  0.5000
Zn  0.6052  0.1052  0.5000
Zn  0.8948  0.3948  0.5000

Summary:
- formation enthalpy at 0 K (eV/atom) = -0.147

---

no.,E (eV/cell)
1,-16.44
2,-37.30
3,-19.89
4,-35.09
5,-78.61
6,-20.40